Compound: TlAsSe2
Source: Alexandria via LeMat-Bulk
Functional: PBE
Structure: optimized geometry

## Properties
- Calculated volume: 111 Å³ per cell
- Raw formation energy: 111 meV/atom
- Symmetry: Cmm2 (35)
- ρ: 6.5 g/cm3
- Magnetization: 0.0 μB/f.u.

abc: 3.4252 3.4252 9.4490
angles: 90.00 90.00 90.11
Fractional coordinates of all 4 atoms:
Se: 0.0000 0.0000 0.9154
Se: 0.5000 0.5000 0.2832
As: 0.5000 0.5000 0.8042
Tl: 0.0000 0.0000 0.4972